No. 1
The following is a DFT calculation (PBE) of an optimized crystal structure of Na7Cd3In.

abc: 3.2791 25.8929 15.2796
angles: 90.00 90.00 90.00
Space group Cmcm (No. 63)
One atom of each set of equivalent atoms:
Na: 0.0000 0.0565 0.1321
Na: 0.0000 0.0887 0.5872
Na: 0.0000 0.1830 0.2500
Na: 0.0000 0.2208 0.6004
Cd: 0.0000 0.3419 0.5610
Cd: 0.0000 0.3461 0.2500
In: 0.0000 0.4688 0.2500

Results
VASP energy   -1.40 eV per atom
Density of states at the Fermi level   4.29 states/eV/f.u.
Energy of formation from the pure elements   -58.3 meV/atom
Energy above the lowest structure with this stoichiometry   0.00 eV/f.u.



No. 2
The following is a DFT calculation (PBE) of an optimized crystal structure of NaCd5In2.

abc: 6.1769 9.1779 7.2585
angles: 90.00 91.48 90.00
Space group P2_1/m (No. 11)
One atom of each set of equivalent atoms:
Na: 0.2391 0.2500 0.3354
Cd: 0.2609 0.5843 0.5247
Cd: 0.2691 0.7500 0.8771
Cd: 0.4974 0.5830 0.1772
In: 0.0164 0.0852 0.8234

Results
VASP energy   -1.45 eV per atom
Density of states at the Fermi level   2.80 states/eV/f.u.
Energy of formation from the pure elements   -28.6 meV/atom
Energy above the lowest structure with this stoichiometry   0.00 eV/f.u.



No. 3
The following is a DFT calculation (PBE) of an optimized crystal structure of Na2CdIn10.

abc: 11.2731 6.3363 12.2962
angles: 90.00 93.18 90.00
Space group P2/m (No. 10)
One atom of each set of equivalent atoms:
Na: 0.1253 0.0000 0.1579
Na: 0.3736 0.0000 0.6415
Cd: 0.0000 0.5000 0.5000
Cd: 0.5000 0.5000 0.0000
In: 0.0363 0.5000 0.8775
In: 0.0953 0.2281 0.6857
In: 0.1812 0.5000 0.3041
In: 0.2331 0.5000 0.0522
In: 0.2684 0.5000 0.5500
In: 0.3182 0.5000 0.8052
In: 0.4137 0.2272 0.1845
In: 0.4621 0.5000 0.3803

Results
VASP energy   -2.30 eV per atom
Density of states at the Fermi level   5.09 states/eV/f.u.
Energy of formation from the pure elements   81.6 meV/atom



No. 4
The following is a DFT calculation (PBE) of an optimized crystal structure of Na2Cd3In.

abc: 6.6310 10.3136 17.6502
angles: 90.00 90.00 90.00
Space group Fmmm (No. 69)
One atom of each set of equivalent atoms:
Na: 0.2484 0.0000 0.0000
Na: 0.2500 0.2500 0.2500
Cd: 0.0000 0.0000 0.1654
Cd: 0.0000 0.2489 0.0837
In: 0.0000 0.0000 0.3334

Results
VASP energy   -1.47 eV per atom
Density of states at the Fermi level   2.04 states/eV/f.u.
Energy of formation from the pure elements   -119.9 meV/atom



Which formula does entry 3 have? Na2CdIn10